Compound: La6IrOs
Source: Alexandria via LeMat-Bulk
Functional: PBE-GGA
Structure: relaxed

The calculation puts the density of states at the Fermi level at 17.3 states/eV/cell. Its total magnetization is 0.0 Bohr magnetons per cell. Its total energy is -6.492 eV/atom.

It has space group P-31c (No. 163), with a = 6.9696 Å, b = 6.9696 Å, c = 13.4909 Å, α = 90.00°, β = 90.00° and γ = 120.00°. The distinct sites, in fractional coordinates, are La at (0.0023, 0.3367, 0.1256), Ir at (0.0000, 0.0000, 0.0000) and Os at (0.3333, 0.6667, 0.2500).